# 1
# GGA-PBE CsReHg3S4, optimized geometry
# calculated density = 3.97 g cm⁻³
# spin magnetization = 0.0 Bohr magnetons per cell
# total DFT energy (no corrections) = -3.694 eV per atom
# space-group type = No. 215
data_CsReHg3S4
_cell_length_a 7.599
_cell_length_b 7.599
_cell_length_c 7.599
_cell_angle_alpha 90.00
_cell_angle_beta 90.00
_cell_angle_gamma 90.00
_symmetry_space_group_name_H-M 'P 1'
_symmetry_Int_Tables_number 1
_symmetry_space_group_name_Hall 'P 1'
loop_
_atom_site_label
_atom_site_type_symbol
_atom_site_fract_x
_atom_site_fract_y
_atom_site_fract_z
Cs1 Cs 0.000 0.000 0.000
Re1 Re 0.500 0.500 0.500
Hg1 Hg 0.000 0.500 0.500
Hg2 Hg 0.500 0.000 0.500
Hg3 Hg 0.500 0.500 0.000
S1 S 0.335 0.335 0.335
S2 S 0.335 0.665 0.665
S3 S 0.665 0.335 0.665
S4 S 0.665 0.665 0.335

---

# 2
# GGA-PBE CsReHg3Se4, optimized geometry
# calculated density = 4.89 g cm⁻³
# spin magnetization = 0.0 Bohr magnetons per cell
# total DFT energy (no corrections) = -3.351 eV per atom
# space-group type = No. 215
data_CsReHg3Se4
_cell_length_a 7.487
_cell_length_b 7.487
_cell_length_c 7.487
_cell_angle_alpha 90.00
_cell_angle_beta 90.00
_cell_angle_gamma 90.00
_symmetry_space_group_name_H-M 'P 1'
_symmetry_Int_Tables_number 1
_symmetry_space_group_name_Hall 'P 1'
loop_
_atom_site_label
_atom_site_type_symbol
_atom_site_fract_x
_atom_site_fract_y
_atom_site_fract_z
Cs1 Cs 0.000 0.000 0.000
Re1 Re 0.500 0.500 0.500
Hg1 Hg 0.000 0.500 0.500
Hg2 Hg 0.500 0.000 0.500
Hg3 Hg 0.500 0.500 0.000
Se1 Se 0.322 0.322 0.322
Se2 Se 0.322 0.678 0.678
Se3 Se 0.678 0.322 0.678
Se4 Se 0.678 0.678 0.322

---

# 3
# GGA-PBE CsReHg3Te4, optimized geometry
# calculated density = 5.17 g cm⁻³
# spin magnetization = 0.0 Bohr magnetons per cell
# total DFT energy (no corrections) = -3.029 eV per atom
# space-group type = No. 215
data_CsReHg3Te4
_cell_length_a 7.717
_cell_length_b 7.717
_cell_length_c 7.717
_cell_angle_alpha 90.00
_cell_angle_beta 90.00
_cell_angle_gamma 90.00
_symmetry_space_group_name_H-M 'P 1'
_symmetry_Int_Tables_number 1
_symmetry_space_group_name_Hall 'P 1'
loop_
_atom_site_label
_atom_site_type_symbol
_atom_site_fract_x
_atom_site_fract_y
_atom_site_fract_z
Cs1 Cs 0.000 0.000 0.000
Re1 Re 0.500 0.500 0.500
Hg1 Hg 0.000 0.500 0.500
Hg2 Hg 0.500 0.000 0.500
Hg3 Hg 0.500 0.500 0.000
Te1 Te 0.313 0.313 0.313
Te2 Te 0.313 0.687 0.687
Te3 Te 0.687 0.313 0.687
Te4 Te 0.687 0.687 0.313

---

# 4
# GGA-PBE Cs2Hg2S3, optimized geometry
# calculated density = 3.98 g cm⁻³
# space-group type = No. 199
# energy above the lowest structure with this stoichiometry = 0 meV per atom
data_Cs2Hg2S3
_cell_length_a 9.391
_cell_length_b 9.391
_cell_length_c 9.391
_cell_angle_alpha 109.47
_cell_angle_beta 109.47
_cell_angle_gamma 109.47
_symmetry_space_group_name_H-M 'P 1'
_symmetry_Int_Tables_number 1
_symmetry_space_group_name_Hall 'P 1'
loop_
_atom_site_label
_atom_site_type_symbol
_atom_site_fract_x
_atom_site_fract_y
_atom_site_fract_z
Cs1 Cs 0.000 0.014 0.500
Cs2 Cs 0.014 0.500 0.000
Cs3 Cs 0.486 0.486 0.486
Cs4 Cs 0.500 0.000 0.014
Hg1 Hg 0.000 0.632 0.500
Hg2 Hg 0.500 0.000 0.632
Hg3 Hg 0.632 0.500 0.000
Hg4 Hg 0.868 0.868 0.868
S1 S 0.058 0.750 0.808
S2 S 0.250 0.692 0.442
S3 S 0.442 0.250 0.692
S4 S 0.692 0.442 0.250
S5 S 0.750 0.808 0.058
S6 S 0.808 0.058 0.750

---

# 5
# GGA-PBE Cs2Hg2S3, optimized geometry
# calculated density = 3.63 g cm⁻³
# space-group type = No. 166
# energy above the lowest structure with this stoichiometry = 219 meV per atom
data_Cs2Hg2S3
_cell_length_a 7.563
_cell_length_b 7.563
_cell_length_c 7.563
_cell_angle_alpha 66.61
_cell_angle_beta 66.61
_cell_angle_gamma 66.61
_symmetry_space_group_name_H-M 'P 1'
_symmetry_Int_Tables_number 1
_symmetry_space_group_name_Hall 'P 1'
loop_
_atom_site_label
_atom_site_type_symbol
_atom_site_fract_x
_atom_site_fract_y
_atom_site_fract_z
Cs1 Cs 0.000 0.000 0.000
Cs2 Cs 0.500 0.500 0.500
Hg1 Hg 0.201 0.201 0.201
Hg2 Hg 0.799 0.799 0.799
S1 S 0.000 0.000 0.500
S2 S 0.000 0.500 0.000
S3 S 0.500 0.000 0.000

---

# 6
# GGA-PBE Cs6HgS4, optimized geometry
# calculated density = 4.31 g cm⁻³
# total DFT energy (no corrections) = -2.931 eV per atom
# space-group type = No. 186
data_Cs6HgS4
_cell_length_a 10.875
_cell_length_b 10.875
_cell_length_c 8.469
_cell_angle_alpha 90.00
_cell_angle_beta 90.00
_cell_angle_gamma 120.00
_symmetry_space_group_name_H-M 'P 1'
_symmetry_Int_Tables_number 1
_symmetry_space_group_name_Hall 'P 1'
loop_
_atom_site_label
_atom_site_type_symbol
_atom_site_fract_x
_atom_site_fract_y
_atom_site_fract_z
Cs1 Cs 0.062 0.531 0.000
Cs2 Cs 0.147 0.295 0.327
Cs3 Cs 0.147 0.853 0.327
Cs4 Cs 0.295 0.147 0.827
Cs5 Cs 0.469 0.531 0.000
Cs6 Cs 0.469 0.938 0.000
Cs7 Cs 0.531 0.062 0.500
Cs8 Cs 0.531 0.469 0.500
Cs9 Cs 0.705 0.853 0.327
Cs10 Cs 0.853 0.147 0.827
Cs11 Cs 0.853 0.705 0.827
Cs12 Cs 0.938 0.469 0.500
Hg1 Hg 0.333 0.667 0.617
Hg2 Hg 0.667 0.333 0.117
S1 S 0.198 0.395 0.713
S2 S 0.198 0.802 0.713
S3 S 0.333 0.667 0.299
S4 S 0.395 0.198 0.213
S5 S 0.605 0.802 0.713
S6 S 0.667 0.333 0.799
S7 S 0.802 0.198 0.213
S8 S 0.802 0.605 0.213

---

# 7
# GGA-PBE Cs2HgS2, optimized geometry
# calculated density = 3.78 g cm⁻³
# total DFT energy (no corrections) = -2.903 eV per atom
# space-group type = No. 62
data_Cs2HgS2
_cell_length_a 9.563
_cell_length_b 7.021
_cell_length_c 13.884
_cell_angle_alpha 90.00
_cell_angle_beta 90.00
_cell_angle_gamma 90.00
_symmetry_space_group_name_H-M 'P 1'
_symmetry_Int_Tables_number 1
_symmetry_space_group_name_Hall 'P 1'
loop_
_atom_site_label
_atom_site_type_symbol
_atom_site_fract_x
_atom_site_fract_y
_atom_site_fract_z
Cs1 Cs 0.038 0.250 0.214
Cs2 Cs 0.153 0.250 0.593
Cs3 Cs 0.347 0.750 0.093
Cs4 Cs 0.462 0.750 0.714
Cs5 Cs 0.538 0.250 0.286
Cs6 Cs 0.653 0.250 0.907
Cs7 Cs 0.847 0.750 0.407
Cs8 Cs 0.962 0.750 0.786
Hg1 Hg 0.184 0.250 0.945
Hg2 Hg 0.316 0.750 0.445
Hg3 Hg 0.684 0.250 0.555
Hg4 Hg 0.816 0.750 0.055
S1 S 0.014 0.250 0.826
S2 S 0.152 0.750 0.571
S3 S 0.348 0.250 0.071
S4 S 0.486 0.750 0.326
S5 S 0.514 0.250 0.674
S6 S 0.652 0.750 0.929
S7 S 0.848 0.250 0.429
S8 S 0.986 0.750 0.174

---

# 8
# GGA-PBE Cs2HgSb4S8, optimized geometry
# calculated density = 4.14 g cm⁻³
# total DFT energy (no corrections) = -3.946 eV per atom
# space-group type = No. 2
data_Cs2HgSb4S8
_cell_length_a 7.524
_cell_length_b 10.900
_cell_length_c 11.992
_cell_angle_alpha 98.17
_cell_angle_beta 92.34
_cell_angle_gamma 92.22
_symmetry_space_group_name_H-M 'P 1'
_symmetry_Int_Tables_number 1
_symmetry_space_group_name_Hall 'P 1'
loop_
_atom_site_label
_atom_site_type_symbol
_atom_site_fract_x
_atom_site_fract_y
_atom_site_fract_z
Cs1 Cs 0.228 0.394 0.376
Cs2 Cs 0.241 0.972 0.621
Cs3 Cs 0.759 0.028 0.379
Cs4 Cs 0.772 0.606 0.624
Hg1 Hg 0.305 0.337 0.722
Hg2 Hg 0.695 0.663 0.278
Sb1 Sb 0.099 0.330 0.996
Sb2 Sb 0.210 0.758 0.276
Sb3 Sb 0.292 0.046 0.109
Sb4 Sb 0.399 0.665 0.944
Sb5 Sb 0.601 0.335 0.056
Sb6 Sb 0.708 0.954 0.891
Sb7 Sb 0.790 0.242 0.724
Sb8 Sb 0.901 0.670 0.004
S1 S 0.013 0.255 0.586
S2 S 0.035 0.181 0.134
S3 S 0.179 0.538 0.811
S4 S 0.247 0.990 0.304
S5 S 0.298 0.189 0.890
S6 S 0.343 0.467 0.108
S7 S 0.451 0.717 0.409
S8 S 0.475 0.805 0.799
S9 S 0.525 0.195 0.201
S10 S 0.549 0.283 0.591
S11 S 0.657 0.533 0.892
S12 S 0.702 0.811 0.110
S13 S 0.753 0.010 0.696
S14 S 0.821 0.462 0.189
S15 S 0.965 0.819 0.866
S16 S 0.987 0.745 0.414

---

# 9
# GGA-PBE CsSmHgS3, optimized geometry
# calculated density = 5.56 g cm⁻³
# spin magnetization = 0.0 Bohr magnetons per cell
# total DFT energy (no corrections) = -4.194 eV per atom
# space-group type = No. 12
data_CsSmHgS3
_cell_length_a 9.279
_cell_length_b 9.279
_cell_length_c 9.275
_cell_angle_alpha 101.26
_cell_angle_beta 101.26
_cell_angle_gamma 26.27
_symmetry_space_group_name_H-M 'P 1'
_symmetry_Int_Tables_number 1
_symmetry_space_group_name_Hall 'P 1'
loop_
_atom_site_label
_atom_site_type_symbol
_atom_site_fract_x
_atom_site_fract_y
_atom_site_fract_z
Cs1 Cs 0.149 0.149 0.064
Cs2 Cs 0.851 0.851 0.936
Sm1 Sm 0.166 0.166 0.565
Sm2 Sm 0.834 0.834 0.435
Hg1 Hg 0.485 0.485 0.273
Hg2 Hg 0.515 0.515 0.727
S1 S 0.000 0.000 0.500
S2 S 0.324 0.324 0.629
S3 S 0.339 0.339 0.237
S4 S 0.500 0.500 0.000
S5 S 0.661 0.661 0.763
S6 S 0.676 0.676 0.371

---

# 10
# GGA-PBE CsSmHgS3, optimized geometry
# calculated density = 5.08 g cm⁻³
# spin magnetization = 0.0 Bohr magnetons per cell
# total DFT energy (no corrections) = -4.285 eV per atom
# space-group type = No. 11
data_CsSmHgS3
_cell_length_a 9.174
_cell_length_b 4.233
_cell_length_c 10.379
_cell_angle_alpha 90.00
_cell_angle_beta 109.81
_cell_angle_gamma 90.00
_symmetry_space_group_name_H-M 'P 1'
_symmetry_Int_Tables_number 1
_symmetry_space_group_name_Hall 'P 1'
loop_
_atom_site_label
_atom_site_type_symbol
_atom_site_fract_x
_atom_site_fract_y
_atom_site_fract_z
Cs1 Cs 0.227 0.250 0.249
Cs2 Cs 0.773 0.750 0.751
Sm1 Sm 0.328 0.750 0.866
Sm2 Sm 0.672 0.250 0.134
Hg1 Hg 0.090 0.250 0.621
Hg2 Hg 0.910 0.750 0.379
S1 S 0.117 0.250 0.870
S2 S 0.216 0.750 0.553
S3 S 0.474 0.750 0.143
S4 S 0.526 0.250 0.857
S5 S 0.784 0.250 0.447
S6 S 0.883 0.750 0.130

---

# 11
# GGA-PBE CsSnHg3S4, optimized geometry
# calculated density = 5.68 g cm⁻³
# space-group type = No. 11
# energy above the lowest structure with this stoichiometry = 0 meV per atom
data_CsSnHg3S4
_cell_length_a 7.208
_cell_length_b 7.929
_cell_length_c 10.206
_cell_angle_alpha 90.00
_cell_angle_beta 100.18
_cell_angle_gamma 90.00
_symmetry_space_group_name_H-M 'P 1'
_symmetry_Int_Tables_number 1
_symmetry_space_group_name_Hall 'P 1'
loop_
_atom_site_label
_atom_site_type_symbol
_atom_site_fract_x
_atom_site_fract_y
_atom_site_fract_z
Cs1 Cs 0.212 0.250 0.127
Cs2 Cs 0.788 0.750 0.873
Sn1 Sn 0.035 0.750 0.304
Sn2 Sn 0.965 0.250 0.696
Hg1 Hg 0.247 0.541 0.513
Hg2 Hg 0.247 0.959 0.513
Hg3 Hg 0.468 0.250 0.761
Hg4 Hg 0.532 0.750 0.239
Hg5 Hg 0.753 0.041 0.487
Hg6 Hg 0.753 0.459 0.487
S1 S 0.202 0.018 0.764
S2 S 0.202 0.482 0.764
S3 S 0.208 0.750 0.117
S4 S 0.430 0.250 0.483
S5 S 0.570 0.750 0.517
S6 S 0.792 0.250 0.883
S7 S 0.798 0.518 0.236
S8 S 0.798 0.982 0.236